Entry 1:
## TeIr2Au (PBE)

Data for a geometry-optimized TeIr2Au structure.

Cell: 4.815 4.815 4.815 Å, 126.81 126.81 78.55°
Sites, in units of the cell vectors:
Te (0.000, 0.000, 0.000)
Ir (0.250, 0.750, 0.500)
Ir (0.750, 0.250, 0.500)
Au (0.500, 0.500, 0.000)

## Properties
- Relative energy among the computed polymorphs: 0.180 eV per atom
- Formation energy from raw total energies: 1.889 eV per formula unit

***

Entry 2:
## SrLaIn2Fe (PBE)

Data for a geometry-optimized SrLaIn2Fe structure.

Cell: 5.315 5.315 4.912 Å, 90.00 90.00 90.00°
Sites, in units of the cell vectors:
Sr (0.000, 0.000, 0.000)
La (0.500, 0.500, 0.000)
In (0.000, 0.500, 0.500)
In (0.500, 0.000, 0.500)
Fe (0.500, 0.500, 0.500)

## Properties
- Formation energy: -208 meV per atom

***

Entry 3:
## MgRh2Pb (PBE)

Data for a geometry-optimized MgRh2Pb structure.

Cell: 8.395 8.395 8.395 Å, 22.01 22.01 22.01°
Sites, in units of the cell vectors:
Mg (0.000, 0.000, 0.000)
Rh (0.252, 0.252, 0.252)
Rh (0.748, 0.748, 0.748)
Pb (0.500, 0.500, 0.500)

## Properties
- Formation energy: -3 meV per atom

***

Entry 4:
## PdAuIO2 (PBE)

Data for a geometry-optimized PdAuIO2 structure.

Cell: 3.913 3.913 7.858 Å, 90.00 90.00 90.00°
Sites, in units of the cell vectors:
Pd (0.000, 0.000, 0.000)
Au (0.500, 0.500, 0.500)
I (0.000, 0.000, 0.500)
O (0.000, 0.500, 0.000)
O (0.500, 0.000, 0.000)

## Properties
- Relative energy among the computed polymorphs: 0.000 eV per atom
- Formation energy from raw total energies: 1.053 eV per formula unit

***

Results for M_tot: 0.00; 0.73; 0.00; 2.12 (in μB/f.u., following the order of the records).
Results for DFT total energy: -5.563; -4.318; -5.005; -3.777 (in eV/atom, following the order of the records).